(1)
{"formula": "BaZr", "functional": "PBE", "state": "optimized geometry", "lattice_angstrom": [[6.240, 0.000, 0.000], [0.000, 12.888, 0.000], [0.000, 0.000, 5.515]], "species": ["Ba", "Ba", "Ba", "Ba", "Ba", "Ba", "Zr", "Zr", "Zr", "Zr", "Zr", "Zr"], "frac_coords": [[0.446, 0.222, 0.000], [0.946, 0.944, 0.000], [0.914, 0.206, 0.500], [0.802, 0.502, 0.500], [0.302, 0.665, 0.500], [0.414, 0.961, 0.500], [0.046, 0.411, 0.000], [0.466, 0.511, 0.000], [0.966, 0.656, 0.000], [0.546, 0.756, 0.000], [0.325, 0.389, 0.500], [0.825, 0.778, 0.500]], "dft_energy_ev_per_atom": -4.706, "crystal_system": "orthorhombic"}

---

(2)
{"formula": "Ba2Zr", "functional": "PBE", "state": "optimized geometry", "lattice_angstrom": [[0.000, 4.904, 4.904], [4.904, 0.000, 4.904], [4.904, 4.904, 0.000]], "species": ["Ba", "Ba", "Ba", "Ba", "Zr", "Zr"], "frac_coords": [[0.625, 0.625, 0.125], [0.625, 0.125, 0.625], [0.125, 0.625, 0.625], [0.625, 0.625, 0.625], [0.000, 0.000, 0.000], [0.250, 0.250, 0.250]], "dft_energy_ev_per_atom": -3.033, "crystal_system": "cubic"}

---

(3)
{"formula": "BaZr", "functional": "PBE", "state": "optimized geometry", "lattice_angstrom": [[-6.414, -3.615, -6.695], [-5.182, -2.038, 7.666], [-2.327, 4.717, -0.318]], "species": ["Ba", "Ba", "Ba", "Ba", "Ba", "Ba", "Zr", "Zr", "Zr", "Zr", "Zr", "Zr"], "frac_coords": [[0.285, 0.204, 0.000], [0.799, 0.254, 0.000], [0.330, 0.724, 0.000], [0.089, 0.469, 0.500], [0.604, 0.518, 0.500], [0.559, 0.999, 0.500], [0.930, 0.642, 0.000], [0.732, 0.834, 0.000], [0.021, 0.944, 0.000], [0.958, 0.081, 0.500], [0.868, 0.778, 0.500], [0.157, 0.888, 0.500]], "dft_energy_ev_per_atom": -4.896, "crystal_system": "monoclinic"}

---

(4)
{"formula": "Ba2Zr", "functional": "PBE", "state": "optimized geometry", "lattice_angstrom": [[-4.427, -1.369, 8.538], [5.242, -2.078, 7.911], [0.942, 6.593, 7.072]], "species": ["Ba", "Ba", "Ba", "Ba", "Zr", "Zr"], "frac_coords": [[0.375, 0.375, 0.375], [0.875, 0.375, 0.375], [0.375, 0.875, 0.375], [0.375, 0.375, 0.875], [0.250, 0.250, 0.250], [0.500, 0.500, 0.500]], "dft_energy_ev_per_atom": -2.386, "crystal_system": "cubic"}

---

(5)
{"formula": "BaZr", "functional": "PBE", "state": "optimized geometry", "lattice_angstrom": [[-5.487, -1.926, -1.159], [3.085, -4.587, -6.984], [0.841, -4.331, 3.216]], "species": ["Ba", "Ba", "Ba", "Ba", "Zr", "Zr", "Zr", "Zr"], "frac_coords": [[0.950, 0.458, 0.000], [0.450, 0.792, 0.000], [0.383, 0.458, 0.500], [0.883, 0.792, 0.500], [0.017, 0.060, 0.000], [0.517, 0.190, 0.000], [0.316, 0.060, 0.500], [0.816, 0.190, 0.500]], "dft_energy_ev_per_atom": -4.878, "crystal_system": "orthorhombic"}

---

(6)
{"formula": "BaZr", "functional": "PBE", "state": "optimized geometry", "lattice_angstrom": [[14.163, 0.000, 0.000], [0.000, 3.530, 0.000], [0.000, 0.000, 5.562]], "species": ["Ba", "Ba", "Ba", "Ba", "Zr", "Zr", "Zr", "Zr"], "frac_coords": [[0.544, 0.000, 0.000], [0.210, 0.500, 0.000], [0.706, 0.000, 0.500], [0.373, 0.500, 0.500], [0.986, 0.000, 0.000], [0.811, 0.500, 0.000], [0.105, 0.000, 0.500], [0.931, 0.500, 0.500]], "dft_energy_ev_per_atom": -4.846, "crystal_system": "orthorhombic"}

---

(7)
{"formula": "BaZr", "functional": "PBE", "state": "optimized geometry", "lattice_angstrom": [[-1.419, 0.424, -3.180], [1.648, -2.992, 0.801], [-5.282, -2.362, 2.042]], "species": ["Ba", "Zr"], "frac_coords": [[0.667, 0.333, 0.750], [0.333, 0.667, 0.250]], "dft_energy_ev_per_atom": -4.490, "crystal_system": "hexagonal"}

---

(8)
{"formula": "Ba2Zr", "functional": "PBE", "state": "optimized geometry", "lattice_angstrom": [[0.887, 3.895, 4.513], [-3.868, 4.540, 0.865], [-3.672, -0.038, 4.779]], "species": ["Ba", "Ba", "Zr"], "frac_coords": [[0.250, 0.250, 0.250], [0.750, 0.750, 0.750], [0.000, 0.000, 0.000]], "dft_energy_ev_per_atom": -3.132, "crystal_system": "cubic"}

---

(9)
{"formula": "Ba3Zr", "functional": "PBE", "state": "optimized geometry", "lattice_angstrom": [[7.745, 0.000, 0.000], [-3.872, 6.707, 0.000], [0.000, 0.000, 6.978]], "species": ["Ba", "Ba", "Ba", "Ba", "Ba", "Ba", "Zr", "Zr"], "frac_coords": [[0.397, 0.000, 0.250], [0.000, 0.397, 0.250], [0.603, 0.603, 0.250], [0.603, 0.000, 0.750], [0.397, 0.397, 0.750], [0.000, 0.603, 0.750], [0.000, 0.000, 0.000], [0.000, 0.000, 0.500]], "dft_energy_ev_per_atom": -3.074, "crystal_system": "hexagonal"}

---

(10)
{"formula": "BaZr", "functional": "PBE", "state": "optimized geometry", "lattice_angstrom": [[6.464, 0.000, 0.000], [0.000, 9.892, 0.000], [0.000, 0.000, 4.827]], "species": ["Ba", "Ba", "Ba", "Ba", "Zr", "Zr", "Zr", "Zr"], "frac_coords": [[0.917, 0.533, 0.000], [0.417, 0.717, 0.000], [0.417, 0.033, 0.500], [0.917, 0.217, 0.500], [0.418, 0.316, 0.000], [0.918, 0.934, 0.000], [0.415, 0.434, 0.500], [0.915, 0.816, 0.500]], "dft_energy_ev_per_atom": -4.595, "crystal_system": "orthorhombic"}

---

(11)
{"formula": "BaZr", "functional": "PBE", "state": "optimized geometry", "lattice_angstrom": [[-2.247, -0.372, 2.705], [3.480, 0.182, 0.604], [-0.789, 11.865, 0.978]], "species": ["Ba", "Ba", "Zr", "Zr"], "frac_coords": [[0.000, 0.000, 0.000], [0.000, 0.000, 0.500], [0.667, 0.333, 0.250], [0.333, 0.667, 0.750]], "dft_energy_ev_per_atom": -4.509, "crystal_system": "hexagonal"}

---

(12)
{"formula": "BeCd2Bi", "functional": "PBE", "state": "optimized geometry", "lattice_angstrom": [[0.212, 1.475, 4.791], [-3.812, -1.002, 3.104], [0.563, -3.398, 3.649]], "species": ["Be", "Bi", "Cd", "Cd"], "frac_coords": [[0.250, 0.250, 0.250], [0.500, 0.500, 0.500], [0.000, 0.000, 0.000], [0.750, 0.750, 0.750]], "dft_energy_ev_per_atom": -1.898, "crystal_system": "cubic"}

---

(13)
{"formula": "BeCdBi2", "functional": "PBE", "state": "optimized geometry", "lattice_angstrom": [[-1.508, -3.780, 3.283], [-4.957, -1.662, -0.027], [-1.152, -4.756, -1.841]], "species": ["Be", "Bi", "Bi", "Cd"], "frac_coords": [[0.500, 0.500, 0.500], [0.000, 0.000, 0.000], [0.750, 0.750, 0.750], [0.250, 0.250, 0.250]], "dft_energy_ev_per_atom": -2.583, "crystal_system": "cubic"}

---

(14)
{"formula": "BeCdCoBi", "functional": "PBE", "state": "optimized geometry", "lattice_angstrom": [[0.000, 3.247, 3.247], [3.247, 0.000, 3.247], [3.247, 3.247, 0.000]], "species": ["Be", "Bi", "Cd", "Co"], "frac_coords": [[0.250, 0.250, 0.250], [0.000, 0.000, 0.000], [0.500, 0.500, 0.500], [0.750, 0.750, 0.750]], "dft_energy_ev_per_atom": -3.326, "crystal_system": "cubic"}

---

(15)
{"formula": "Be2CoBi", "functional": "PBE", "state": "optimized geometry", "lattice_angstrom": [[0.000, 3.031, 3.031], [3.031, 0.000, 3.031], [3.031, 3.031, 0.000]], "species": ["Be", "Be", "Bi", "Co"], "frac_coords": [[0.000, 0.000, 0.000], [0.750, 0.750, 0.750], [0.500, 0.500, 0.500], [0.250, 0.250, 0.250]], "dft_energy_ev_per_atom": -3.972, "crystal_system": "cubic"}

---

(16)
{"formula": "BeCoBi2", "functional": "PBE", "state": "optimized geometry", "lattice_angstrom": [[0.000, 3.479, 3.479], [3.479, 0.000, 3.479], [3.479, 3.479, 0.000]], "species": ["Be", "Bi", "Bi", "Co"], "frac_coords": [[0.500, 0.500, 0.500], [0.000, 0.000, 0.000], [0.750, 0.750, 0.750], [0.250, 0.250, 0.250]], "dft_energy_ev_per_atom": -3.749, "crystal_system": "cubic"}

---

(17)
{"formula": "BeCoBi", "functional": "PBE", "state": "optimized geometry", "lattice_angstrom": [[-2.956, 1.046, 2.688], [-3.964, -0.722, -0.905], [-2.080, -2.936, 2.028]], "species": ["Be", "Bi", "Co"], "frac_coords": [[0.250, 0.250, 0.250], [0.750, 0.750, 0.750], [0.000, 0.000, 0.000]], "dft_energy_ev_per_atom": -4.612, "crystal_system": "cubic"}

---

(18)
{"formula": "BeCo2Bi", "functional": "PBE", "state": "optimized geometry", "lattice_angstrom": [[0.199, -2.314, 3.548], [-0.784, 1.806, 3.756], [-3.552, -0.954, 2.111]], "species": ["Be", "Bi", "Co", "Co"], "frac_coords": [[0.250, 0.250, 0.250], [0.000, 0.000, 0.000], [0.500, 0.500, 0.500], [0.750, 0.750, 0.750]], "dft_energy_ev_per_atom": -4.903, "crystal_system": "cubic"}

---

(19)
{"formula": "BeCoCuBi", "functional": "PBE", "state": "optimized geometry", "lattice_angstrom": [[-3.356, -0.613, 2.682], [-1.407, 3.260, 2.495], [-3.819, 1.882, -0.838]], "species": ["Be", "Bi", "Co", "Cu"], "frac_coords": [[0.500, 0.500, 0.500], [0.000, 0.000, 0.000], [0.750, 0.750, 0.750], [0.250, 0.250, 0.250]], "dft_energy_ev_per_atom": -4.164, "crystal_system": "cubic"}

---

(20)
{"formula": "BeCoCuBi", "functional": "PBE", "state": "optimized geometry", "lattice_angstrom": [[0.000, 3.086, 3.086], [3.086, 0.000, 3.086], [3.086, 3.086, 0.000]], "species": ["Be", "Bi", "Co", "Cu"], "frac_coords": [[0.250, 0.250, 0.250], [0.000, 0.000, 0.000], [0.500, 0.500, 0.500], [0.750, 0.750, 0.750]], "dft_energy_ev_per_atom": -4.024, "crystal_system": "cubic"}